[1]
# GGA-PBE MgTa3Re, relaxed
# formation enthalpy at 0 K	10.9	eV/f.u.
# DFT total energy	-7.74	eV/atom
# polymorph energy (0 for the lowest one)	1.046	eV per atom
# Fermi-level density of states	6.9	states/eV/cell
data_MgTa3Re
_symmetry_space_group_name_H-M 'P m -3 m'
_symmetry_Int_Tables_number 221
_symmetry_space_group_name_Hall '-P 4 2 3'
_cell_length_a 4.613
_cell_length_b 4.613
_cell_length_c 4.613
_cell_angle_alpha 90.00
_cell_angle_beta 90.00
_cell_angle_gamma 90.00
loop_
_atom_site_label
_atom_site_fract_x
_atom_site_fract_y
_atom_site_fract_z
Mg1 0.000 0.000 0.000
Ta1 0.000 0.000 0.500
Re1 0.500 0.500 0.500


[2]
# GGA-PBE ThUZn17, relaxed
# formation enthalpy at 0 K	-2.5	eV/f.u.
# DFT total energy	-2.25	eV/atom
# Fermi-level density of states	35.9	states/eV/cell
data_ThUZn17
_symmetry_space_group_name_H-M 'R 3 m'
_symmetry_Int_Tables_number 160
_symmetry_space_group_name_Hall 'R 3 -2"'
_cell_length_a 9.0230
_cell_length_b 9.0230
_cell_length_c 13.2079
_cell_angle_alpha 90.00
_cell_angle_beta 90.00
_cell_angle_gamma 120.00
loop_
_atom_site_label
_atom_site_fract_x
_atom_site_fract_y
_atom_site_fract_z
Th1 0.0000 0.0000 0.0000
U1 0.0000 0.0000 0.6739
Zn1 0.0000 0.0000 0.2393
Zn2 0.0000 0.0000 0.4393
Zn3 0.0009 0.5005 0.8375
Zn4 0.0017 0.2955 0.3376
Zn5 0.0132 0.5066 0.4889
Zn6 0.1686 0.3373 0.5190


[3]
# GGA-PBE TbHoIn2Te4, relaxed
# formation energy without anion corrections	-0.969	eV/atom
# DFT total energy	-4.38	eV/atom
# Fermi-level density of states	0.3	states/eV/cell
data_TbHoIn2Te4
_symmetry_space_group_name_H-M 'P 1 2/m 1'
_symmetry_Int_Tables_number 10
_symmetry_space_group_name_Hall '-P 2y'
_cell_length_a 7.638
_cell_length_b 4.412
_cell_length_c 8.502
_cell_angle_alpha 90.00
_cell_angle_beta 107.43
_cell_angle_gamma 90.00
loop_
_atom_site_label
_atom_site_fract_x
_atom_site_fract_y
_atom_site_fract_z
Tb1 0.000 0.000 0.000
Ho1 0.500 0.500 0.000
In1 0.000 0.500 0.500
In2 0.500 0.000 0.500
Te1 0.242 0.500 0.220
Te2 0.262 0.000 0.782


[4]
# GGA-PBE Fe4PdRh15, relaxed
# formation enthalpy at 0 K	-0.4	eV/f.u.
# DFT total energy	-7.49	eV/atom
# Fermi-level density of states	27.9	states/eV/cell
data_Fe4PdRh15
_symmetry_space_group_name_H-M 'P 4/m m m'
_symmetry_Int_Tables_number 123
_symmetry_space_group_name_Hall '-P 4 2'
_cell_length_a 3.827
_cell_length_b 3.827
_cell_length_c 19.005
_cell_angle_alpha 90.00
_cell_angle_beta 90.00
_cell_angle_gamma 90.00
loop_
_atom_site_label
_atom_site_fract_x
_atom_site_fract_y
_atom_site_fract_z
Fe1 0.000 0.000 0.099
Fe2 0.000 0.000 0.299
Pd1 0.000 0.000 0.500
Rh1 0.000 0.500 0.000
Rh2 0.000 0.500 0.199
Rh3 0.000 0.500 0.396
Rh4 0.500 0.500 0.099
Rh5 0.500 0.500 0.298
Rh6 0.500 0.500 0.500


[5]
# GGA-PBE Be2WBr, relaxed
# formation energy without anion corrections	0.880	eV/atom
# DFT total energy	-4.64	eV/atom
# polymorph energy (0 for the lowest one)	0.494	eV per atom
# Fermi-level density of states	4.7	states/eV/cell
data_Be2WBr
_symmetry_space_group_name_H-M 'C 1 2/m 1'
_symmetry_Int_Tables_number 12
_symmetry_space_group_name_Hall '-C 2y'
_cell_length_a 8.503
_cell_length_b 2.927
_cell_length_c 5.165
_cell_angle_alpha 90.00
_cell_angle_beta 97.87
_cell_angle_gamma 90.00
loop_
_atom_site_label
_atom_site_fract_x
_atom_site_fract_y
_atom_site_fract_z
Be1 0.213 0.000 0.359
W1 0.000 0.500 0.500
Br1 0.000 0.000 0.000


[6]
# GGA-PBE CrCdTc, relaxed
# formation enthalpy at 0 K	1.1	eV/f.u.
# DFT total energy	-6.61	eV/atom
# polymorph energy (0 for the lowest one)	0.092	eV per atom
# Fermi-level density of states	3.1	states/eV/cell
data_CrCdTc
_symmetry_space_group_name_H-M 'P 3 m 1'
_symmetry_Int_Tables_number 156
_symmetry_space_group_name_Hall 'P 3 -2"'
_cell_length_a 2.8566
_cell_length_b 2.8566
_cell_length_c 6.7595
_cell_angle_alpha 90.00
_cell_angle_beta 90.00
_cell_angle_gamma 120.00
loop_
_atom_site_label
_atom_site_fract_x
_atom_site_fract_y
_atom_site_fract_z
Cr1 0.0000 0.0000 0.0000
Cd1 0.3333 0.6667 0.6405
Tc1 0.6667 0.3333 0.2630


[7]
# GGA-PBE KCrIBr2, relaxed
# formation energy without anion corrections	-0.940	eV/atom
# DFT total energy	-4.06	eV/atom
# Fermi-level density of states	1.2	states/eV/cell
data_KCrIBr2
_symmetry_space_group_name_H-M 'P 4/m m m'
_symmetry_Int_Tables_number 123
_symmetry_space_group_name_Hall '-P 4 2'
_cell_length_a 5.274
_cell_length_b 5.274
_cell_length_c 5.748
_cell_angle_alpha 90.00
_cell_angle_beta 90.00
_cell_angle_gamma 90.00
loop_
_atom_site_label
_atom_site_fract_x
_atom_site_fract_y
_atom_site_fract_z
K1 0.000 0.000 0.000
Cr1 0.500 0.500 0.500
I1 0.500 0.500 0.000
Br1 0.000 0.500 0.500


[8]
# GGA-PBE Sm3Cd2Au6, relaxed
# formation enthalpy at 0 K	-5.5	eV/f.u.
# DFT total energy	-3.74	eV/atom
# Fermi-level density of states	14.5	states/eV/cell
data_Sm3Cd2Au6
_symmetry_space_group_name_H-M 'I 4/m m m'
_symmetry_Int_Tables_number 139
_symmetry_space_group_name_Hall '-I 4 2'
_cell_length_a 4.299
_cell_length_b 4.299
_cell_length_c 27.766
_cell_angle_alpha 90.00
_cell_angle_beta 90.00
_cell_angle_gamma 90.00
loop_
_atom_site_label
_atom_site_fract_x
_atom_site_fract_y
_atom_site_fract_z
Sm1 0.000 0.000 0.000
Sm2 0.000 0.000 0.201
Cd1 0.000 0.000 0.450
Au1 0.000 0.000 0.311
Au2 0.000 0.500 0.115


[9]
# GGA-PBE Pm2HoPd9, relaxed
# formation enthalpy at 0 K	-9.8	eV/f.u.
# DFT total energy	-5.89	eV/atom
# Fermi-level density of states	8.6	states/eV/cell
data_Pm2HoPd9
_symmetry_space_group_name_H-M 'P 4/m m m'
_symmetry_Int_Tables_number 123
_symmetry_space_group_name_Hall '-P 4 2'
_cell_length_a 4.167
_cell_length_b 4.167
_cell_length_c 12.459
_cell_angle_alpha 90.00
_cell_angle_beta 90.00
_cell_angle_gamma 90.00
loop_
_atom_site_label
_atom_site_fract_x
_atom_site_fract_y
_atom_site_fract_z
Pm1 0.000 0.000 0.170
Ho1 0.000 0.000 0.500
Pd1 0.000 0.500 0.000
Pd2 0.000 0.500 0.338
Pd3 0.500 0.500 0.168
Pd4 0.500 0.500 0.500


[10]
# GGA-PBE LaThPb2, relaxed
# formation enthalpy at 0 K	-1.7	eV/f.u.
# DFT total energy	-5.37	eV/atom
# Fermi-level density of states	4.9	states/eV/cell
data_LaThPb2
_symmetry_space_group_name_H-M 'A m m 2'
_symmetry_Int_Tables_number 38
_symmetry_space_group_name_Hall 'A 2 -2'
_cell_length_a 4.674
_cell_length_b 4.623
_cell_length_c 12.107
_cell_angle_alpha 90.00
_cell_angle_beta 90.00
_cell_angle_gamma 90.00
loop_
_atom_site_label
_atom_site_fract_x
_atom_site_fract_y
_atom_site_fract_z
La1 0.000 0.000 0.000
Th1 0.500 0.000 0.736
Pb1 0.000 0.000 0.268
Pb2 0.500 0.000 0.465


[11]
# GGA-PBE TmZr2As3, relaxed
# formation enthalpy at 0 K	-7.3	eV/f.u.
# DFT total energy	-7.14	eV/atom
# Fermi-level density of states	5.2	states/eV/cell
data_TmZr2As3
_symmetry_space_group_name_H-M 'I m m m'
_symmetry_Int_Tables_number 71
_symmetry_space_group_name_Hall '-I 2 2'
_cell_length_a 3.916
_cell_length_b 5.558
_cell_length_c 11.806
_cell_angle_alpha 90.00
_cell_angle_beta 90.00
_cell_angle_gamma 90.00
loop_
_atom_site_label
_atom_site_fract_x
_atom_site_fract_y
_atom_site_fract_z
Tm1 0.000 0.000 0.000
Zr1 0.000 0.000 0.337
As1 0.000 0.500 0.000
As2 0.000 0.500 0.329


[12]
# GGA-PBE CaTc2Bi, relaxed
# formation enthalpy at 0 K	4.2	eV/f.u.
# DFT total energy	-5.59	eV/atom
# Fermi-level density of states	14.0	states/eV/cell
data_CaTc2Bi
_symmetry_space_group_name_H-M 'I -4 2 d'
_symmetry_Int_Tables_number 122
_symmetry_space_group_name_Hall 'I -4 2bw'
_cell_length_a 7.903
_cell_length_b 7.903
_cell_length_c 5.923
_cell_angle_alpha 90.00
_cell_angle_beta 90.00
_cell_angle_gamma 90.00
loop_
_atom_site_label
_atom_site_fract_x
_atom_site_fract_y
_atom_site_fract_z
Ca1 0.000 0.000 0.000
Tc1 0.212 0.250 0.625
Bi1 0.000 0.000 0.500


Question: Among the records above, which one has the lowest Fermi-level density of states?
Answer: TbHoIn2Te4


Question: Number 8 is which compound?
Answer: Sm3Cd2Au6


Repeat the tenth record exactly.
# GGA-PBE LaThPb2, relaxed
# formation enthalpy at 0 K	-1.7	eV/f.u.
# DFT total energy	-5.37	eV/atom
# Fermi-level density of states	4.9	states/eV/cell
data_LaThPb2
_symmetry_space_group_name_H-M 'A m m 2'
_symmetry_Int_Tables_number 38
_symmetry_space_group_name_Hall 'A 2 -2'
_cell_length_a 4.674
_cell_length_b 4.623
_cell_length_c 12.107
_cell_angle_alpha 90.00
_cell_angle_beta 90.00
_cell_angle_gamma 90.00
loop_
_atom_site_label
_atom_site_fract_x
_atom_site_fract_y
_atom_site_fract_z
La1 0.000 0.000 0.000
Th1 0.500 0.000 0.736
Pb1 0.000 0.000 0.268
Pb2 0.500 0.000 0.465